The following is a GGA-PBEsol calculation of a relaxed structure of Mg2SbPb, from the Alexandria database.

Computed properties:
formation energy without anion corrections = -0.13 eV/atom
total energy = -3.13 eV/atom
E above lowest polymorph = 5.0 kJ/mol of formula units

a b c (Å): 4.2204 4.8219 4.8219
angles (deg): 90.00 90.00 90.00
With the nearest neighbours (Å) after each atom.
Atoms (fractional coordinates):
Mg 0.0000 0.5000 0.0000  4 Pb 3.20, 4 Sb 3.20, 4 Mg 3.41
Mg 0.0000 0.0000 0.5000  4 Pb 3.20, 4 Sb 3.20, 4 Mg 3.41
Pb 0.5000 0.5000 0.5000  8 Mg 3.20, 4 Sb 3.41
Sb 0.5000 0.0000 0.0000  8 Mg 3.20, 4 Pb 3.41